1.
This record from the Alexandria database describes a crystal of NaTa2ZnIr relaxed with PBEsol. The functional is SCAN.

Computed properties:
The calculation puts the energy relative to the elements at 2183 meV per atom.

abc: 4.576 4.576 4.175
angles: 90.00 90.00 90.00
Space group P4/mmm (No. 123)
One atom of each set of equivalent atoms:
Na 0.000 0.000 0.000
Ta 0.000 0.500 0.000
Zn 0.000 0.000 0.500
Ir 0.500 0.500 0.500

2.
This record from the Alexandria database describes a crystal of Na3TcIr relaxed with PBEsol. The functional is SCAN.

Computed properties:
The calculation puts the energy relative to the elements at 2063 meV per atom.

abc: 5.237 5.237 5.237
angles: 90.00 90.00 90.00
Space group Pm-3m (No. 221)
One atom of each set of equivalent atoms:
Na 0.000 0.000 0.500
Tc 0.000 0.000 0.000
Ir 0.500 0.500 0.500

3.
This record from the Alexandria database describes a crystal of NaYTc2Ir relaxed with PBEsol. The functional is SCAN.

Computed properties:
The calculation puts the energy relative to the elements at 792 meV per atom.

abc: 4.688 4.688 4.902
angles: 90.00 90.00 90.00
Space group P4/mmm (No. 123)
One atom of each set of equivalent atoms:
Na 0.000 0.000 0.000
Y 0.500 0.500 0.000
Tc 0.000 0.500 0.500
Ir 0.000 0.000 0.500

4.
This record from the Alexandria database describes a crystal of NaTe2Ir relaxed with PBEsol. The functional is SCAN.

Computed properties:
The calculation puts the uncorrected formation energy at -0.323 eV/atom.

abc: 8.361 8.361 6.132
angles: 90.00 90.00 90.00
Space group I-42d (No. 122)
One atom of each set of equivalent atoms:
Na 0.000 0.000 0.000
Te 0.149 0.250 0.625
Ir 0.000 0.000 0.500

5.
This record from the Alexandria database describes a crystal of Nb5Ir7 relaxed with PBEsol. The functional is SCAN.

Computed properties:
The calculation puts the energy relative to the elements at -574 meV per atom.

abc: 2.811 13.648 4.815
angles: 90.00 90.00 90.00
Space group Pmm2 (No. 25)
One atom of each set of equivalent atoms:
Nb 0.000 0.000 0.000
Nb 0.000 0.166 0.627
Nb 0.000 0.340 0.272
Ir 0.000 0.500 0.938
Ir 0.500 0.000 0.491
Ir 0.500 0.170 0.130
Ir 0.500 0.337 0.784
Ir 0.500 0.500 0.452

6.
This record from the Alexandria database describes a crystal of Nb2Ni2Ir relaxed with PBEsol. The functional is SCAN.

Computed properties:
The calculation puts the energy relative to the elements at -420 meV per atom.

abc: 6.671 6.671 3.139
angles: 90.00 90.00 90.00
Space group P4/mbm (No. 127)
One atom of each set of equivalent atoms:
Nb 0.177 0.323 0.000
Ni 0.125 0.625 0.500
Ir 0.000 0.000 0.500

7.
This record from the Alexandria database describes a crystal of NbIr2O relaxed with PBEsol. The functional is SCAN.

Computed properties:
The calculation puts the uncorrected formation energy at 0.123 eV/atom.

abc: 4.722 4.722 11.845
angles: 90.00 90.00 90.00
Space group I-42d (No. 122)
One atom of each set of equivalent atoms:
Nb 0.000 0.000 0.000
Ir 0.137 0.250 0.625
O 0.000 0.000 0.500

8.
This record from the Alexandria database describes a crystal of Nb2IrOsRh relaxed with PBEsol. The functional is SCAN.

Computed properties:
The calculation puts the energy relative to the elements at 1398 meV per atom.

abc: 4.722 4.722 4.618
angles: 90.00 90.00 90.00
Space group P4/mmm (No. 123)
One atom of each set of equivalent atoms:
Nb 0.000 0.500 0.000
Ir 0.000 0.000 0.000
Os 0.000 0.000 0.500
Rh 0.500 0.500 0.500

9.
This record from the Alexandria database describes a crystal of NbZnP2Ir relaxed with PBEsol. The functional is SCAN.

Computed properties:
The calculation puts the energy relative to the elements at 1187 meV per atom.

abc: 4.400 4.400 4.460
angles: 90.00 90.00 90.00
Space group P4/mmm (No. 123)
One atom of each set of equivalent atoms:
Nb 0.000 0.000 0.000
Zn 0.500 0.500 0.500
P 0.000 0.500 0.500
Ir 0.500 0.500 0.000

10.
This record from the Alexandria database describes a crystal of NbIr3Pd relaxed with PBEsol. The functional is SCAN.

Computed properties:
The calculation puts the energy relative to the elements at 2093 meV per atom.

abc: 4.587 4.587 4.587
angles: 90.00 90.00 90.00
Space group Pm-3m (No. 221)
One atom of each set of equivalent atoms:
Nb 0.000 0.000 0.000
Ir 0.000 0.500 0.500
Pd 0.500 0.500 0.500

11.
This record from the Alexandria database describes a crystal of NbIr2Pd relaxed with PBEsol. The functional is SCAN.

Computed properties:
The calculation puts the energy relative to the elements at -186 meV per atom.

abc: 6.234 6.234 6.234
angles: 90.00 90.00 90.00
Space group Fm-3m (No. 225)
One atom of each set of equivalent atoms:
Nb 0.000 0.000 0.000
Ir 0.250 0.250 0.250
Pd 0.000 0.000 0.500

12.
This record from the Alexandria database describes a crystal of NbIrPd2Ru relaxed with PBEsol. The functional is SCAN.

Computed properties:
The calculation puts the energy relative to the elements at 1477 meV per atom.

abc: 4.639 4.639 4.551
angles: 90.00 90.00 90.00
Space group P4/mmm (No. 123)
One atom of each set of equivalent atoms:
Nb 0.000 0.000 0.000
Ir 0.500 0.500 0.000
Pd 0.000 0.500 0.500
Ru 0.500 0.500 0.500

no.,DFT total energy (eV/atom)
1,-42.22
2,-21.70
3,-33.86
4,-37.78
5,-55.85
6,-34.36
7,-45.27
8,-47.20
9,-26.52
10,-53.75
11,-52.21
12,-39.44